Entry 1:
{
  "formula": "ZrTe2ICl",
  "functional": "PBE-GGA",
  "state": "relaxed",
  "cell": [[-4.5354, -0.9765, 2.8978], [2.8778, -3.1159, 3.4540], [0.9940, 4.2184, 2.9773]],
  "species": ["Cl", "I", "Te", "Te", "Zr"],
  "fractional_positions": [[0.0000, 0.0000, 0.0000], [0.0000, 0.0000, 0.5000], [0.5000, 0.0000, 0.0000], [0.0000, 0.5000, 0.0000], [0.5000, 0.5000, 0.5000]],
  "polymorph_energy_ev_per_atom": 0.9543,
  "total_energy_ev_per_atom": -2.931,
  "sg": "P4/mmm, No. 123",
  "e_form_raw_ev_per_atom": 0.715
}

---

Entry 2:
{
  "formula": "LiPmCoH6",
  "functional": "PBE-GGA",
  "state": "relaxed",
  "cell": [[4.4252, 0.0000, -0.0001], [2.2126, 3.8323, 0.0001], [0.0000, -0.0001, 4.2364]],
  "species": ["H", "H", "H", "H", "H", "H", "Pm", "Co", "Li"],
  "fractional_positions": [[0.4835, 0.0340, 0.2473], [0.4824, 0.4836, 0.2473], [0.4835, 0.4824, 0.7527], [0.4823, 0.0341, 0.7527], [0.0340, 0.4824, 0.2473], [0.0340, 0.4836, 0.7527], [0.0000, 0.0000, 0.0000], [0.3333, 0.3333, 0.5000], [0.6666, 0.6667, 0.5000]],
  "total_energy_ev_per_atom": -4.131,
  "sg": "P-6m2, No. 187"
}

---

Entry 3:
{
  "formula": "MgCo4Ag",
  "functional": "PBE-GGA",
  "state": "relaxed",
  "cell": [[0.0000, 3.4249, 3.4249], [3.4249, 0.0000, 3.4249], [3.4249, 3.4249, 0.0000]],
  "species": ["Co", "Co", "Co", "Co", "Ag", "Mg"],
  "fractional_positions": [[0.3751, 0.3751, 0.3751], [0.3751, 0.3751, 0.8747], [0.8747, 0.3751, 0.3751], [0.3751, 0.8747, 0.3751], [0.0000, 0.0000, 0.0000], [0.7500, 0.7500, 0.7500]],
  "total_energy_ev_per_atom": -5.348,
  "e_form_ev_per_atom": 0.130,
  "sg": "F-43m, No. 216"
}

---

Entry 4:
{
  "formula": "CsAcSnO4",
  "functional": "PBE-GGA",
  "state": "relaxed",
  "cell": [[-2.3582, -0.4289, -6.1266], [3.9469, -5.0227, -1.1676], [-4.7374, -4.8426, 4.8177]],
  "species": ["O", "O", "O", "O", "O", "O", "O", "O", "Cs", "Cs", "Ac", "Ac", "Sn", "Sn"],
  "fractional_positions": [[0.9419, 0.0239, 0.6659], [0.4813, 0.7500, 0.5667], [0.5187, 0.2500, 0.4333], [0.9419, 0.4761, 0.6659], [0.5409, 0.2500, 0.8019], [0.4592, 0.7500, 0.1981], [0.0581, 0.9761, 0.3341], [0.0581, 0.5239, 0.3341], [0.3225, 0.2500, 0.0757], [0.6775, 0.7500, 0.9243], [0.2009, 0.2500, 0.5456], [0.7991, 0.7500, 0.4544], [0.7329, 0.2500, 0.6592], [0.2671, 0.7500, 0.3408]],
  "total_energy_ev_per_atom": -6.261,
  "sg": "P2_1/m, No. 11",
  "e_form_raw_ev_per_atom": -2.148
}

---

Entry 5:
{
  "formula": "Ce2Er3PuAs6",
  "functional": "PBE-GGA",
  "state": "relaxed",
  "cell": [[4.1434, 0.0000, 0.0000], [0.0000, 8.2555, 0.2991], [-2.0717, -2.3713, 8.6961]],
  "species": ["Er", "Er", "Er", "As", "As", "As", "As", "As", "As", "Ce", "Ce", "Pu"],
  "fractional_positions": [[0.8332, 0.1662, 0.6665], [0.1668, 0.8338, 0.3335], [0.5000, 0.5000, 0.0000], [0.3344, 0.4133, 0.6687], [0.6656, 0.5867, 0.3313], [0.9983, 0.2506, 0.9965], [0.0017, 0.7494, 0.0035], [0.3324, 0.9206, 0.6649], [0.6676, 0.0794, 0.3351], [0.8344, 0.6685, 0.6688], [0.1656, 0.3315, 0.3312], [0.5000, 0.0000, 0.0000]],
  "total_energy_ev_per_atom": -7.054,
  "e_form_ev_per_atom": -1.405,
  "sg": "C2/m, No. 12"
}

---

Entry 6:
{
  "formula": "KNaTl2",
  "functional": "PBE-GGA",
  "state": "relaxed",
  "cell": [[5.5239, 0.0000, 0.0000], [0.0000, 5.5239, 0.0000], [2.7620, 2.7620, 11.2809]],
  "species": ["K", "K", "Tl", "Tl", "Tl", "Tl", "Na", "Na"],
  "fractional_positions": [[0.0000, 0.0000, 0.0000], [0.7500, 0.2500, 0.5000], [0.3750, 0.5170, 0.7500], [0.4830, 0.1250, 0.2500], [0.8750, 0.7330, 0.7500], [0.2670, 0.6250, 0.2500], [0.2500, 0.7500, 0.5000], [0.5000, 0.5000, 0.0000]],
  "polymorph_energy_ev_per_atom": 0.1258,
  "total_energy_ev_per_atom": -1.729,
  "e_form_ev_per_atom": 0.058,
  "sg": "I-42d, No. 122"
}

---

Entry 7:
{
  "formula": "KY2Ti2S2O5",
  "functional": "PBE-GGA",
  "state": "relaxed",
  "cell": [[3.7340, 0.0000, 0.0000], [0.0000, 3.7340, 0.0000], [0.0000, 0.0000, 15.0133]],
  "species": ["S", "S", "Y", "Y", "O", "O", "O", "O", "O", "K", "Ti", "Ti"],
  "fractional_positions": [[0.0000, 0.0000, 0.6504], [0.0000, 0.0000, 0.3496], [0.5000, 0.5000, 0.7423], [0.5000, 0.5000, 0.2577], [0.0000, 0.5000, 0.1666], [0.0000, 0.5000, 0.8334], [0.5000, 0.0000, 0.8334], [0.5000, 0.0000, 0.1666], [0.0000, 0.0000, 0.0000], [0.5000, 0.5000, 0.5000], [0.0000, 0.0000, 0.8788], [0.0000, 0.0000, 0.1212]],
  "total_energy_ev_per_atom": -7.963,
  "sg": "P4/mmm, No. 123",
  "e_form_raw_ev_per_atom": -2.725
}

---

Entry 8:
{
  "formula": "CaCo2Br",
  "functional": "PBE-GGA",
  "state": "relaxed",
  "cell": [[-2.6460, 3.7362, -2.6462], [0.5742, -1.3504, -5.0850], [-2.0804, -1.8476, 4.5022]],
  "species": ["Ca", "Br", "Co", "Co"],
  "fractional_positions": [[0.2490, 0.7490, 0.5001], [0.5515, 0.5514, 0.9999], [0.7697, 0.2699, 0.4998], [0.9298, 0.9297, 0.0002]],
  "polymorph_energy_ev_per_atom": 0.3782,
  "total_energy_ev_per_atom": -4.266,
  "sg": "Imm2, No. 44",
  "e_form_raw_ev_per_atom": 0.205
}

---

Entry 9:
{
  "formula": "K3RbAu",
  "functional": "PBE-GGA",
  "state": "relaxed",
  "cell": [[-3.2326, 1.7826, 5.5674], [3.4706, -4.5341, 3.4669], [4.7040, 4.5702, 1.2680]],
  "species": ["Au", "K", "K", "K", "Rb"],
  "fractional_positions": [[0.0000, 0.0000, 0.0000], [0.5000, 0.0000, 0.0000], [0.0000, 0.5000, 0.0000], [0.0000, 0.0000, 0.5000], [0.5000, 0.5000, 0.5000]],
  "polymorph_energy_ev_per_atom": 0.0142,
  "total_energy_ev_per_atom": -1.626,
  "e_form_ev_per_atom": -0.119,
  "sg": "Pm-3m, No. 221"
}

---

Entry 10:
{
  "formula": "SrTl2Se2O6",
  "functional": "PBE-GGA",
  "state": "relaxed",
  "cell": [[-5.1379, -3.5341, 1.4073], [5.6161, -2.1271, 0.6422], [-1.5951, 4.7969, 6.2228]],
  "species": ["Sr", "O", "O", "O", "O", "O", "O", "Se", "Se", "Tl", "Tl"],
  "fractional_positions": [[0.5000, 0.0000, 0.5000], [0.2363, 0.4725, 0.4240], [0.8048, 0.0276, 0.7186], [0.2228, 0.0276, 0.7186], [0.7637, 0.5275, 0.5760], [0.1952, 0.9724, 0.2814], [0.7772, 0.9724, 0.2814], [0.9217, 0.8434, 0.7568], [0.0783, 0.1566, 0.2432], [0.2557, 0.5114, 0.7642], [0.7443, 0.4886, 0.2358]],
  "total_energy_ev_per_atom": -5.227,
  "sg": "C2/m, No. 12",
  "e_form_raw_ev_per_atom": -1.306
}

---

Entry 11:
{
  "formula": "Hg2TeRh",
  "functional": "PBE-GGA",
  "state": "relaxed",
  "cell": [[-1.5621, 2.2429, 6.6571], [1.5621, -2.2429, 6.6571], [1.5621, 2.2429, -6.6571]],
  "species": ["Hg", "Hg", "Te", "Rh"],
  "fractional_positions": [[0.1896, 0.1896, 0.0000], [0.8104, 0.8104, 0.0000], [0.5000, 0.0000, 0.5000], [0.0000, 0.5000, 0.5000]],
  "polymorph_energy_ev_per_atom": 0.1967,
  "total_energy_ev_per_atom": -2.664,
  "sg": "Immm, No. 71",
  "e_form_raw_ev_per_atom": 0.110
}

---

Entry 12:
{
  "formula": "TaHgW2",
  "functional": "PBE-GGA",
  "state": "relaxed",
  "cell": [[5.3376, 0.0018, -0.0001], [2.2808, 4.8258, 0.0001], [-3.3736, -3.1012, 2.7371]],
  "species": ["W", "W", "Ta", "Hg"],
  "fractional_positions": [[0.9922, 0.9922, 0.0000], [0.7671, 0.2671, 0.5000], [0.2366, 0.7366, 0.5000], [0.5040, 0.5040, 0.0000]],
  "total_energy_ev_per_atom": -9.070,
  "e_form_ev_per_atom": 0.445,
  "sg": "Imm2, No. 44"
}

---

Entry 13:
{
  "formula": "Pr6AlCd5",
  "functional": "PBE-GGA",
  "state": "relaxed",
  "cell": [[5.2308, 0.0220, -1.5265], [-1.0642, 6.8126, -3.5475], [-0.0845, 0.4911, 9.4430]],
  "species": ["Cd", "Cd", "Cd", "Cd", "Cd", "Pr", "Pr", "Pr", "Pr", "Pr", "Pr", "Al"],
  "fractional_positions": [[0.3335, 0.3335, 0.6670], [0.6665, 0.6665, 0.3330], [0.6719, 0.1719, 0.3438], [0.3281, 0.8281, 0.6562], [0.0000, 0.5000, 0.0000], [0.8373, 0.0822, 0.6746], [0.5000, 0.2404, 0.0000], [0.1627, 0.4076, 0.3254], [0.1627, 0.9178, 0.3254], [0.8373, 0.5924, 0.6746], [0.5000, 0.7596, 0.0000], [0.0000, 0.0000, 0.0000]],
  "total_energy_ev_per_atom": -3.404,
  "e_form_ev_per_atom": -0.321,
  "sg": "Immm, No. 71"
}

---

Entry 14:
{
  "formula": "Ho2InPb",
  "functional": "PBE-GGA",
  "state": "relaxed",
  "cell": [[-3.8960, -0.5907, 1.9120], [-1.1262, -3.4794, -3.3699], [1.9734, -3.4893, 2.9431]],
  "species": ["Ho", "Ho", "Pb", "In"],
  "fractional_positions": [[0.0000, 0.5000, 0.0000], [0.0000, 0.0000, 0.5000], [0.5000, 0.5000, 0.5000], [0.5000, 0.0000, 0.0000]],
  "total_energy_ev_per_atom": -4.329,
  "e_form_ev_per_atom": -0.429,
  "sg": "P4/mmm, No. 123"
}

---

Entry 15:
{
  "formula": "CdAg4",
  "functional": "PBE-GGA",
  "state": "relaxed",
  "cell": [[10.8924, -0.0754, -0.0770], [0.4168, 2.9097, 0.0000], [0.4168, -0.0597, 2.9091]],
  "species": ["Ag", "Ag", "Ag", "Ag", "Cd"],
  "fractional_positions": [[0.5943, 0.2029, 0.2029], [0.3978, 0.8011, 0.8011], [0.2022, 0.3989, 0.3989], [0.0057, 0.9971, 0.9971], [0.8000, 0.6000, 0.6000]],
  "polymorph_energy_ev_per_atom": 0.0292,
  "total_energy_ev_per_atom": -2.462,
  "e_form_ev_per_atom": 0.002,
  "sg": "I4/mmm, No. 139"
}

---

Entry 16:
{
  "formula": "UBeS",
  "functional": "PBE-GGA",
  "state": "relaxed",
  "cell": [[-0.1039, 2.2879, -3.1962], [-3.3098, 1.8966, -0.9534], [1.8028, 9.3362, 4.2059]],
  "species": ["U", "U", "S", "S", "Be", "Be"],
  "fractional_positions": [[0.5595, 0.5595, 0.3215], [0.4405, 0.4405, 0.6785], [0.2722, 0.2722, 0.1833], [0.7278, 0.7278, 0.8167], [0.8337, 0.8337, 0.4990], [0.1663, 0.1663, 0.5010]],
  "total_energy_ev_per_atom": -6.779,
  "sg": "R-3m, No. 166",
  "e_form_raw_ev_per_atom": -0.399
}

---

Entry 17:
{
  "formula": "NbAgS",
  "functional": "PBE-GGA",
  "state": "relaxed",
  "cell": [[4.5935, 0.0000, 0.0000], [0.0000, 4.1534, -0.8118], [0.0000, -1.6090, 5.8981]],
  "species": ["Ag", "Ag", "Nb", "Nb", "S", "S"],
  "fractional_positions": [[0.7500, 0.0446, 0.8991], [0.2500, 0.9554, 0.1009], [0.7500, 0.7343, 0.3216], [0.2500, 0.2657, 0.6784], [0.7500, 0.3666, 0.5590], [0.2500, 0.6334, 0.4410]],
  "total_energy_ev_per_atom": -5.841,
  "sg": "P2_1/m, No. 11",
  "e_form_raw_ev_per_atom": -0.159
}